Here is PmHoTe2O8 after structural relaxation from Alexandria via LeMat-Bulk. Energies are from PBE-GGA.

Cell and atoms, written as POSCAR:
```
PmHoTe2O8
1.0
-3.722 3.722 3.446
3.722 -3.722 3.446
3.722 3.722 -3.446
Pm Ho Te O
1 1 2 8
direct
0.000 0.000 0.000
0.250 0.750 0.500
0.500 0.500 0.000
0.750 0.250 0.500
0.300 0.111 0.811
0.300 0.490 0.189
0.369 0.050 0.319
0.510 0.700 0.811
0.731 0.050 0.681
0.889 0.700 0.189
0.950 0.269 0.319
0.950 0.631 0.681
```

Values from the calculation:
E in eV/atom: -6.5414
Total magnetization in μB/cell: 0.000
Formation energy from raw total energies in eV per atom: -1.93
Mass density in Mg/m³: 6.0

---

Here is PmHo2TeO8 after structural relaxation from Alexandria via LeMat-Bulk. Energies are from PBE-GGA.

Cell and atoms, written as POSCAR:
```
PmHo2TeO8
1.0
3.526 -3.565 0.000
3.526 3.565 0.000
0.000 0.000 6.991
Pm Ho Te O
1 2 1 8
direct
0.000 0.000 0.000
0.500 0.500 0.259
0.500 0.500 0.741
0.000 0.000 0.500
0.184 0.816 0.293
0.184 0.816 0.707
0.277 0.277 0.500
0.319 0.319 0.000
0.681 0.681 0.000
0.723 0.723 0.500
0.816 0.184 0.293
0.816 0.184 0.707
```

Values from the calculation:
E in eV/atom: -7.2266
Total magnetization in μB/cell: 0.859
Formation energy from raw total energies in eV per atom: -2.50
Mass density in Mg/m³: 6.9

---

Here is Pm2HoUO8 after structural relaxation from Alexandria via LeMat-Bulk. Energies are from PBE-GGA.

Cell and atoms, written as POSCAR:
```
Pm2HoUO8
1.0
3.894 0.000 0.000
0.000 5.467 0.000
0.000 0.000 7.613
Pm Ho U O
2 1 1 8
direct
0.000 0.000 0.250
0.000 0.000 0.750
0.500 0.500 0.000
0.500 0.500 0.500
0.000 0.258 0.000
0.000 0.275 0.500
0.000 0.725 0.500
0.000 0.742 0.000
0.500 0.266 0.273
0.500 0.266 0.727
0.500 0.734 0.273
0.500 0.734 0.727
```

Values from the calculation:
E in eV/atom: -8.6420
Total magnetization in μB/cell: 0.000
Formation energy from raw total energies in eV per atom: -3.22
Mass density in Mg/m³: 8.4

---

Here is PmHoUO6 after structural relaxation from Alexandria via LeMat-Bulk. Energies are from PBE-GGA.

Cell and atoms, written as POSCAR:
```
PmHoUO6
1.0
5.794 0.000 0.000
-2.897 5.018 0.000
0.000 0.000 9.644
Pm Ho U O
2 2 2 12
direct
0.000 0.000 0.000
0.000 0.000 0.500
0.333 0.667 0.250
0.667 0.333 0.750
0.333 0.667 0.750
0.667 0.333 0.250
0.021 0.360 0.637
0.021 0.661 0.863
0.339 0.360 0.863
0.339 0.979 0.637
0.360 0.021 0.137
0.360 0.339 0.363
0.640 0.661 0.637
0.640 0.979 0.863
0.661 0.021 0.363
0.661 0.640 0.137
0.979 0.339 0.137
0.979 0.640 0.363
```

Values from the calculation:
E in eV/atom: -8.9412
Total magnetization in μB/cell: 0.000
Formation energy from raw total energies in eV per atom: -3.35
Mass density in Mg/m³: 7.6

---

Here is PmHo2UO8 after structural relaxation from Alexandria via LeMat-Bulk. Energies are from PBE-GGA.

Cell and atoms, written as POSCAR:
```
PmHo2UO8
1.0
3.898 0.000 0.000
0.000 5.312 0.000
0.000 0.000 7.610
Pm Ho U O
1 2 1 8
direct
0.000 0.000 0.000
0.500 0.500 0.258
0.500 0.500 0.742
0.000 0.000 0.500
0.000 0.244 0.276
0.000 0.244 0.724
0.000 0.756 0.276
0.000 0.756 0.724
0.500 0.233 0.500
0.500 0.265 0.000
0.500 0.735 0.000
0.500 0.767 0.500
```

Values from the calculation:
E in eV/atom: -8.6716
Total magnetization in μB/cell: 0.795
Formation energy from raw total energies in eV per atom: -3.27
Mass density in Mg/m³: 8.9